Entry 1:
! PBE Li2Re, relaxed; values from VASP
&SYSTEM
  ibrav = 0, nat = 6, ntyp = 2
/
ATOMIC_SPECIES
Li 6.94 Li.upf
Re 186.21 Re.upf
ATOMIC_POSITIONS crystal
Li 0.1195 0.1195 0.0067
Li 0.2058 0.2058 0.6509
Li 0.7942 0.7942 0.3491
Li 0.8805 0.8805 0.9933
Re 0.4729 0.4729 0.6648
Re 0.5271 0.5271 0.3352
CELL_PARAMETERS angstrom
5.3805 -1.2574 0.0000
5.3805 1.2574 0.0000
-1.3343 0.0000 6.6682
! **E_tot**: -15.45 eV per formula unit
! **DOS(E_F)**: 0.24 states/eV per atom
! **Calculated volume**: 90.2 Å³/cell
! **Calculated density**: 7.36 g/cm3
! **ΔE to the lowest computed polymorph**: 0.081 eV per atom

=====

Entry 2:
! PBE SrNbRu3, relaxed; values from VASP
&SYSTEM
  ibrav = 0, nat = 5, ntyp = 3
/
ATOMIC_SPECIES
Sr 87.62 Sr.upf
Nb 92.91 Nb.upf
Ru 101.07 Ru.upf
ATOMIC_POSITIONS crystal
Sr 0.0000 0.0000 0.0000
Nb 0.5000 0.5000 0.5000
Ru 0.0000 0.5000 0.5000
Ru 0.5000 0.0000 0.5000
Ru 0.5000 0.5000 0.0000
CELL_PARAMETERS angstrom
4.8252 0.0000 0.0000
0.0000 4.8252 0.0000
0.0000 0.0000 4.8252
! **E_tot**: -35.12 eV per formula unit
! **DOS(E_F)**: 1.91 states/eV per atom
! **Calculated volume**: 112.3 Å³/cell
! **Calculated density**: 7.15 g/cm3
! **ΔE to the lowest computed polymorph**: 0.000 eV per atom

=====

Entry 3:
! PBE CoHg3C, relaxed; values from VASP
&SYSTEM
  ibrav = 0, nat = 5, ntyp = 3
/
ATOMIC_SPECIES
Co 58.93 Co.upf
Hg 200.59 Hg.upf
C 12.01 C.upf
ATOMIC_POSITIONS crystal
Co 0.0000 0.0000 0.0000
Hg 0.0000 0.0000 0.5000
Hg 0.0000 0.5000 0.0000
Hg 0.5000 0.0000 0.0000
C 0.5000 0.5000 0.5000
CELL_PARAMETERS angstrom
5.0355 0.0000 0.0000
0.0000 5.0355 0.0000
0.0000 0.0000 5.0355
! **E_tot**: -8.76 eV per formula unit
! **DOS(E_F)**: 1.65 states/eV per atom
! **Calculated volume**: 127.7 Å³/cell
! **Calculated density**: 8.75 g/cm3
! **ΔE to the lowest computed polymorph**: 0.230 eV per atom

=====

Entry 4:
! PBE Ce5PuRh2, relaxed; values from VASP
&SYSTEM
  ibrav = 0, nat = 16, ntyp = 3
/
ATOMIC_SPECIES
Ce 140.12 Ce.upf
Pu 244.00 Pu.upf
Rh 102.91 Rh.upf
ATOMIC_POSITIONS crystal
Ce 0.1418 0.8582 0.7500
Ce 0.1429 0.6484 0.2490
Ce 0.1778 0.4733 0.7490
Ce 0.3516 0.8571 0.2510
Ce 0.4733 0.1778 0.2490
Ce 0.5267 0.8222 0.7510
Ce 0.6484 0.1429 0.7490
Ce 0.8222 0.5267 0.2510
Ce 0.8571 0.3516 0.7510
Ce 0.8582 0.1418 0.2500
Pu 0.5000 0.5000 0.0000
Pu 0.5000 0.5000 0.5000
Rh 0.1844 0.1842 0.0008
Rh 0.1842 0.1844 0.5008
Rh 0.8158 0.8156 0.4992
Rh 0.8156 0.8158 0.9992
CELL_PARAMETERS angstrom
7.6848 -3.9905 0.0000
7.6848 3.9905 0.0000
-0.0163 0.0000 6.0048
! **E_tot**: -61.07 eV per formula unit
! **DOS(E_F)**: 2.15 states/eV per atom
! **Calculated volume**: 368.3 Å³/cell
! **Calculated density**: 10.37 g/cm3

=====

Entry 5:
! PBE CoP2IrCl, relaxed; values from VASP
&SYSTEM
  ibrav = 0, nat = 5, ntyp = 4
/
ATOMIC_SPECIES
Co 58.93 Co.upf
P 30.97 P.upf
Ir 192.22 Ir.upf
Cl 35.45 Cl.upf
ATOMIC_POSITIONS crystal
Co 0.0000 0.0000 0.0000
P 0.0000 0.5000 0.0000
P 0.5000 0.0000 0.0000
Ir 0.5000 0.5000 0.5000
Cl 0.0000 0.0000 0.5000
CELL_PARAMETERS angstrom
4.2329 0.0000 0.0000
0.0000 4.2329 0.0000
0.0000 0.0000 4.5325
! **E_tot**: -24.20 eV per formula unit
! **DOS(E_F)**: 0.73 states/eV per atom
! **Calculated volume**: 81.2 Å³/cell
! **Calculated density**: 7.13 g/cm3
! **ΔE to the lowest computed polymorph**: 0.000 eV per atom

=====

Entry 6:
! PBE La4RhN2, relaxed; values from VASP
&SYSTEM
  ibrav = 0, nat = 14, ntyp = 3
/
ATOMIC_SPECIES
La 138.91 La.upf
Rh 102.91 Rh.upf
N 14.01 N.upf
ATOMIC_POSITIONS crystal
La 0.0000 0.0000 0.0000
La 0.0000 0.0000 0.5000
La 0.2735 0.7265 0.6084
La 0.2735 0.7265 0.8916
La 0.4357 0.5643 0.2500
La 0.5643 0.4357 0.7500
La 0.7265 0.2735 0.1084
La 0.7265 0.2735 0.3916
Rh 0.1044 0.8956 0.2500
Rh 0.8956 0.1044 0.7500
N 0.3657 0.6343 0.0595
N 0.3657 0.6343 0.4405
N 0.6343 0.3657 0.5595
N 0.6343 0.3657 0.9405
CELL_PARAMETERS angstrom
1.8957 -6.2441 0.0000
1.8957 6.2441 0.0000
0.0000 0.0000 13.1936
! **E_tot**: -50.32 eV per formula unit
! **DOS(E_F)**: 0.84 states/eV per atom
! **Calculated volume**: 312.3 Å³/cell
! **Calculated density**: 7.30 g/cm3
! **ΔE to the lowest computed polymorph**: 0.000 eV per atom

=====

Entry 7:
! PBE ErZr2NpAs4, relaxed; values from VASP
&SYSTEM
  ibrav = 0, nat = 8, ntyp = 4
/
ATOMIC_SPECIES
Er 167.26 Er.upf
Zr 91.22 Zr.upf
Np 237.00 Np.upf
As 74.92 As.upf
ATOMIC_POSITIONS crystal
Er 0.0000 0.0000 0.0000
Zr 0.0000 0.5000 0.5000
Zr 0.5000 0.0000 0.5000
Np 0.5000 0.5000 0.0000
As 0.2454 0.0000 0.7383
As 0.2533 0.5000 0.2608
As 0.7467 0.5000 0.7392
As 0.7546 0.0000 0.2617
CELL_PARAMETERS angstrom
6.8635 0.0000 0.0000
0.0000 3.9611 0.0000
-2.2777 0.0000 6.5263
! **E_tot**: -62.22 eV per formula unit
! **DOS(E_F)**: 1.56 states/eV per atom
! **Calculated volume**: 177.4 Å³/cell
! **Calculated density**: 8.30 g/cm3

=====

Entry 8:
! PBE NaHg2Te2, relaxed; values from VASP
&SYSTEM
  ibrav = 0, nat = 5, ntyp = 3
/
ATOMIC_SPECIES
Na 22.99 Na.upf
Hg 200.59 Hg.upf
Te 127.60 Te.upf
ATOMIC_POSITIONS crystal
Na 0.0000 0.0000 0.0000
Hg 0.3502 0.3502 0.0000
Hg 0.6498 0.6498 0.0000
Te 0.2500 0.7500 0.5000
Te 0.7500 0.2500 0.5000
CELL_PARAMETERS angstrom
-2.8727 2.8727 4.7602
2.8727 -2.8727 4.7602
2.8727 2.8727 -4.7602
! **E_tot**: -8.99 eV per formula unit
! **DOS(E_F)**: 0.67 states/eV per atom
! **Calculated volume**: 157.1 Å³/cell
! **Calculated density**: 7.18 g/cm3
! **ΔE to the lowest computed polymorph**: 0.091 eV per atom